Record 1
# TaMnPt2

Crystalline TaMnPt2 at its relaxed geometry (GGA-PBE, the Alexandria database).

## Properties
space-group type = R3m
total moment = 3.8 μB/cell
raw total energy = -33.92 eV/cell
energy relative to the elements = -203 meV per atom
DOS(E_F) = 2.8 states/eV/f.u.

Cell and atoms, written as CIF:
```
data_TaMnPt2
_symmetry_space_group_name_H-M 'P 1'
_symmetry_Int_Tables_number 1
_cell_length_a 9.185
_cell_length_b 9.185
_cell_length_c 9.185
_cell_angle_alpha 17.89
_cell_angle_beta 17.89
_cell_angle_gamma 17.89
loop_
_symmetry_equiv_pos_as_xyz
'x,y,z'
loop_
_atom_site_label
_atom_site_fract_x
_atom_site_fract_y
_atom_site_fract_z
Ta1 0.000 0.000 0.000
Mn1 0.250 0.250 0.250
Pt1 0.505 0.505 0.505
Pt2 0.749 0.749 0.749
```

---

Record 2
# ErPuSn

Crystalline ErPuSn at its relaxed geometry (GGA-PBE, the Alexandria database).

## Properties
offset from the most stable computed form = 0.740 eV/f.u.
space-group type = P3m1
total moment = 6.6 μB/cell
raw total energy = -23.57 eV/cell
energy relative to the elements = -223 meV per atom
DOS(E_F) = 6.6 states/eV/f.u.

Cell and atoms, written as CIF:
```
data_ErPuSn
_symmetry_space_group_name_H-M 'P 1'
_symmetry_Int_Tables_number 1
_cell_length_a 5.226
_cell_length_b 5.226
_cell_length_c 3.472
_cell_angle_alpha 90.00
_cell_angle_beta 90.00
_cell_angle_gamma 120.00
loop_
_symmetry_equiv_pos_as_xyz
'x,y,z'
loop_
_atom_site_label
_atom_site_fract_x
_atom_site_fract_y
_atom_site_fract_z
Er1 0.000 0.000 0.000
Pu1 0.667 0.333 0.577
Sn1 0.333 0.667 0.229
```

---

Record 3
# UTiAs3

Crystalline UTiAs3 at its relaxed geometry (GGA-PBE, the Alexandria database).

## Properties
space-group type = Pbcm
total moment = 8.8 μB/cell
raw total energy = -145.84 eV/cell
energy relative to the elements = -666 meV per atom
DOS(E_F) = 6.4 states/eV/f.u.

Cell and atoms, written as CIF:
```
data_UTiAs3
_symmetry_space_group_name_H-M 'P 1'
_symmetry_Int_Tables_number 1
_cell_length_a 12.082
_cell_length_b 5.764
_cell_length_c 5.733
_cell_angle_alpha 90.00
_cell_angle_beta 90.00
_cell_angle_gamma 90.00
loop_
_symmetry_equiv_pos_as_xyz
'x,y,z'
loop_
_atom_site_label
_atom_site_fract_x
_atom_site_fract_y
_atom_site_fract_z
U1 0.184 0.010 0.250
U2 0.184 0.490 0.750
U3 0.816 0.510 0.250
U4 0.816 0.990 0.750
Ti1 0.415 0.750 0.000
Ti2 0.415 0.750 0.500
Ti3 0.585 0.250 0.000
Ti4 0.585 0.250 0.500
As1 0.001 0.750 0.000
As2 0.001 0.750 0.500
As3 0.259 0.519 0.250
As4 0.259 0.981 0.750
As5 0.421 0.113 0.250
As6 0.421 0.387 0.750
As7 0.579 0.613 0.250
As8 0.579 0.887 0.750
As9 0.741 0.019 0.250
As10 0.741 0.481 0.750
As11 0.999 0.250 0.000
As12 0.999 0.250 0.500
```

---

Record 4
# HoSiTc2Ge

Crystalline HoSiTc2Ge at its relaxed geometry (GGA-PBE, the Alexandria database).

## Properties
space-group type = Cmcm
total moment = 0.0 μB/cell
formation energy from raw total energies = -0.517 eV/atom
raw total energy = -75.87 eV/cell
DOS(E_F) = 4.8 states/eV/f.u.

Cell and atoms, written as CIF:
```
data_HoSiTc2Ge
_symmetry_space_group_name_H-M 'P 1'
_symmetry_Int_Tables_number 1
_cell_length_a 5.935
_cell_length_b 5.935
_cell_length_c 5.859
_cell_angle_alpha 90.00
_cell_angle_beta 90.00
_cell_angle_gamma 121.36
loop_
_symmetry_equiv_pos_as_xyz
'x,y,z'
loop_
_atom_site_label
_atom_site_fract_x
_atom_site_fract_y
_atom_site_fract_z
Ho1 0.248 0.752 0.750
Ho2 0.752 0.248 0.250
Si1 0.119 0.881 0.250
Si2 0.881 0.119 0.750
Tc1 0.254 0.254 0.000
Tc2 0.254 0.254 0.500
Tc3 0.746 0.746 0.000
Tc4 0.746 0.746 0.500
Ge1 0.360 0.640 0.250
Ge2 0.640 0.360 0.750
```

---

Record 5
# Zr4GaAs

Crystalline Zr4GaAs at its relaxed geometry (GGA-PBE, the Alexandria database).

## Properties
offset from the most stable computed form = 0.000 eV/f.u.
space-group type = P4/mcc
total moment = 0.0 μB/cell
raw total energy = -92.24 eV/cell
energy relative to the elements = -709 meV per atom
DOS(E_F) = 3.4 states/eV/f.u.

Cell and atoms, written as CIF:
```
data_Zr4GaAs
_symmetry_space_group_name_H-M 'P 1'
_symmetry_Int_Tables_number 1
_cell_length_a 6.666
_cell_length_b 6.666
_cell_length_c 5.463
_cell_angle_alpha 90.00
_cell_angle_beta 90.00
_cell_angle_gamma 90.00
loop_
_symmetry_equiv_pos_as_xyz
'x,y,z'
loop_
_atom_site_label
_atom_site_fract_x
_atom_site_fract_y
_atom_site_fract_z
Zr1 0.154 0.344 0.000
Zr2 0.154 0.656 0.500
Zr3 0.344 0.154 0.500
Zr4 0.344 0.846 0.000
Zr5 0.656 0.154 0.000
Zr6 0.656 0.846 0.500
Zr7 0.846 0.344 0.500
Zr8 0.846 0.656 0.000
Ga1 0.500 0.500 0.250
Ga2 0.500 0.500 0.750
As1 0.000 0.000 0.250
As2 0.000 0.000 0.750
```

---

Record 6
# KGa3Au3

Crystalline KGa3Au3 at its relaxed geometry (GGA-PBE, the Alexandria database).

## Properties
offset from the most stable computed form = 0.078 eV/f.u.
space-group type = Pm-3n
total moment = 0.0 μB/cell
raw total energy = -43.06 eV/cell
energy relative to the elements = -217 meV per atom
DOS(E_F) = 1.9 states/eV/f.u.

Cell and atoms, written as CIF:
```
data_KGa3Au3
_symmetry_space_group_name_H-M 'P 1'
_symmetry_Int_Tables_number 1
_cell_length_a 7.217
_cell_length_b 7.217
_cell_length_c 7.217
_cell_angle_alpha 90.00
_cell_angle_beta 90.00
_cell_angle_gamma 90.00
loop_
_symmetry_equiv_pos_as_xyz
'x,y,z'
loop_
_atom_site_label
_atom_site_fract_x
_atom_site_fract_y
_atom_site_fract_z
K1 0.000 0.000 0.000
K2 0.500 0.500 0.500
Ga1 0.000 0.250 0.500
Ga2 0.000 0.750 0.500
Ga3 0.250 0.500 0.000
Ga4 0.500 0.000 0.250
Ga5 0.500 0.000 0.750
Ga6 0.750 0.500 0.000
Au1 0.000 0.500 0.250
Au2 0.000 0.500 0.750
Au3 0.250 0.000 0.500
Au4 0.500 0.250 0.000
Au5 0.500 0.750 0.000
Au6 0.750 0.000 0.500
```

---

Repeat the fourth record exactly.
# HoSiTc2Ge

Crystalline HoSiTc2Ge at its relaxed geometry (GGA-PBE, the Alexandria database).

## Properties
space-group type = Cmcm
total moment = 0.0 μB/cell
formation energy from raw total energies = -0.517 eV/atom
raw total energy = -75.87 eV/cell
DOS(E_F) = 4.8 states/eV/f.u.

Cell and atoms, written as CIF:
```
data_HoSiTc2Ge
_symmetry_space_group_name_H-M 'P 1'
_symmetry_Int_Tables_number 1
_cell_length_a 5.935
_cell_length_b 5.935
_cell_length_c 5.859
_cell_angle_alpha 90.00
_cell_angle_beta 90.00
_cell_angle_gamma 121.36
loop_
_symmetry_equiv_pos_as_xyz
'x,y,z'
loop_
_atom_site_label
_atom_site_fract_x
_atom_site_fract_y
_atom_site_fract_z
Ho1 0.248 0.752 0.750
Ho2 0.752 0.248 0.250
Si1 0.119 0.881 0.250
Si2 0.881 0.119 0.750
Tc1 0.254 0.254 0.000
Tc2 0.254 0.254 0.500
Tc3 0.746 0.746 0.000
Tc4 0.746 0.746 0.500
Ge1 0.360 0.640 0.250
Ge2 0.640 0.360 0.750
```